A geometry-optimized La16Al13 structure, computed with GGA-PBE.

Calculated density in g/cm3: 5.26
E_form in meV/atom: -367
DOS at the Fermi energy in states/eV/atom: 0.825

Cell: 9.148 9.148 11.204 Å, 90.00 90.00 120.00°
Positions (direct):
La 0.000 0.228 0.000
La 0.000 0.387 0.337
La 0.000 0.387 0.663
La 0.000 0.739 0.500
La 0.228 0.000 0.000
La 0.261 0.261 0.500
La 0.333 0.667 0.163
La 0.333 0.667 0.837
La 0.387 0.000 0.337
La 0.387 0.000 0.663
La 0.613 0.613 0.337
La 0.613 0.613 0.663
La 0.667 0.333 0.163
La 0.667 0.333 0.837
La 0.739 0.000 0.500
La 0.772 0.772 0.000
Al 0.000 0.000 0.264
Al 0.000 0.000 0.736
Al 0.000 0.578 0.000
Al 0.000 0.714 0.211
Al 0.000 0.714 0.789
Al 0.286 0.286 0.211
Al 0.286 0.286 0.789
Al 0.333 0.667 0.500
Al 0.422 0.422 0.000
Al 0.578 0.000 0.000
Al 0.667 0.333 0.500
Al 0.714 0.000 0.211
Al 0.714 0.000 0.789

A geometry-optimized Be5Cu3 structure, computed with GGA-PBE.

Calculated density in g/cm3: 5.06
E_form in meV/atom: 28
DOS at the Fermi energy in states/eV/atom: 0.157
Polymorph energy (0 for the lowest one) in eV/f.u.: 0.89

Cell: 6.283 6.283 6.397 Å, 96.24 96.24 139.77°
Positions (direct):
Be 0.070 0.736 0.816
Be 0.257 0.257 0.021
Be 0.264 0.930 0.184
Be 0.307 0.497 0.659
Be 0.497 0.307 0.659
Be 0.503 0.693 0.341
Be 0.693 0.503 0.341
Be 0.736 0.070 0.816
Be 0.743 0.743 0.979
Be 0.930 0.264 0.184
Cu 0.114 0.114 0.346
Cu 0.219 0.781 0.500
Cu 0.327 0.673 0.000
Cu 0.673 0.327 0.000
Cu 0.781 0.219 0.500
Cu 0.886 0.886 0.654

A geometry-optimized GaGeTe structure, computed with GGA-PBE.

Calculated density in g/cm3: 4.99
Formation energy from raw total energies in kJ/mol of atoms: -22.64
DOS at the Fermi energy in states/eV/atom: 0.008
Polymorph energy (0 for the lowest one) in eV/f.u.: 0.00

Cell: 12.385 12.385 12.385 Å, 19.20 19.20 19.20°
Positions (direct):
Ga 0.245 0.245 0.245
Ga 0.755 0.755 0.755
Ge 0.178 0.178 0.178
Ge 0.822 0.822 0.822
Te 0.387 0.387 0.387
Te 0.613 0.613 0.613

A geometry-optimized BeTl2S structure, computed with GGA-PBE.

Calculated density in g/cm3: 6.77
Formation energy from raw total energies in kJ/mol of atoms: 30.28
DOS at the Fermi energy in states/eV/atom: 0.214
Polymorph energy (0 for the lowest one) in eV/f.u.: 0.00

Cell: 6.253 6.253 11.284 Å, 90.00 90.00 90.00°
Positions (direct):
Be 0.000 0.000 0.000
Be 0.000 0.500 0.250
Be 0.500 0.000 0.750
Be 0.500 0.500 0.500
Tl 0.216 0.250 0.125
Tl 0.250 0.716 0.375
Tl 0.250 0.784 0.875
Tl 0.284 0.250 0.625
Tl 0.716 0.750 0.625
Tl 0.750 0.216 0.875
Tl 0.750 0.284 0.375
Tl 0.784 0.750 0.125
S 0.000 0.000 0.500
S 0.000 0.500 0.750
S 0.500 0.000 0.250
S 0.500 0.500 0.000

A geometry-optimized NaSmHo2Tl4 structure, computed with GGA-PBE.

Calculated density in g/cm3: 10.02
E_form in meV/atom: -289
DOS at the Fermi energy in states/eV/atom: 0.585

Cell: 9.404 9.404 9.404 Å, 32.96 32.96 32.96°
Positions (direct):
Na 0.000 0.000 0.000
Sm 0.500 0.500 0.500
Ho 0.254 0.254 0.254
Ho 0.746 0.746 0.746
Tl 0.123 0.123 0.123
Tl 0.374 0.374 0.374
Tl 0.626 0.626 0.626
Tl 0.877 0.877 0.877

A geometry-optimized ZrSc2Cu2 structure, computed with GGA-PBE.

Calculated density in g/cm3: 5.43
E_form in meV/atom: -146
DOS at the Fermi energy in states/eV/atom: 1.240
Polymorph energy (0 for the lowest one) in eV/f.u.: 0.00

Cell: 7.490 7.490 3.359 Å, 90.00 90.00 90.00°
Positions (direct):
Zr 0.000 0.000 0.000
Zr 0.500 0.500 0.000
Sc 0.167 0.333 0.500
Sc 0.333 0.833 0.500
Sc 0.667 0.167 0.500
Sc 0.833 0.667 0.500
Cu 0.125 0.625 0.000
Cu 0.375 0.125 0.000
Cu 0.625 0.875 0.000
Cu 0.875 0.375 0.000

A geometry-optimized YHo5Cd4 structure, computed with GGA-PBE.

Calculated density in g/cm3: 8.30
E_form in meV/atom: -239
DOS at the Fermi energy in states/eV/atom: 1.323

Cell: 3.680 3.680 20.149 Å, 90.00 90.00 90.00°
Positions (direct):
Y 0.000 0.000 0.000
Ho 0.500 0.500 0.121
Ho 0.500 0.500 0.312
Ho 0.500 0.500 0.500
Ho 0.500 0.500 0.688
Ho 0.500 0.500 0.879
Cd 0.000 0.000 0.217
Cd 0.000 0.000 0.405
Cd 0.000 0.000 0.595
Cd 0.000 0.000 0.783

A geometry-optimized Ac2Al3SnPd4 structure, computed with GGA-PBE.

Calculated density in g/cm3: 8.27
E_form in meV/atom: -831
DOS at the Fermi energy in states/eV/atom: 0.557

Cell: 4.587 4.587 10.302 Å, 90.00 90.00 90.00°
Positions (direct):
Ac 0.000 0.500 0.242
Ac 0.500 0.000 0.758
Al 0.000 0.500 0.890
Al 0.500 0.000 0.110
Al 0.500 0.500 0.500
Sn 0.000 0.000 0.500
Pd 0.000 0.000 0.000
Pd 0.000 0.500 0.642
Pd 0.500 0.000 0.358
Pd 0.500 0.500 0.000